Entry 1:
{
  "formula": "BeCd2Pd2",
  "functional": "PBE",
  "state": "relaxed",
  "rho_g_cm3": 7.81,
  "ef_ev_per_atom": 0.3270,
  "magmom_total_mub_per_cell": 0.0,
  "relative_energy_mev_per_atom": 630.7,
  "lattice": [[-0.997, 3.182, 1.746], [-3.388, -0.166, -1.631], [-4.512, -2.063, 5.241]],
  "species": ["Be", "Pd", "Pd", "Cd", "Cd"],
  "frac_coords": [[0.000, 0.000, 0.000], [0.406, 0.406, 0.189], [0.594, 0.594, 0.811], [0.750, 0.250, 0.500], [0.250, 0.750, 0.500]]
}

***

Entry 2:
{
  "formula": "Be2CdPd",
  "functional": "PBE",
  "state": "relaxed",
  "rho_g_cm3": 5.88,
  "ef_ev_per_atom": 0.2621,
  "magmom_total_mub_per_cell": 0.0,
  "lattice": [[-0.364, 4.089, 0.002], [-3.443, -0.308, 2.215], [2.364, 2.267, 7.792]],
  "species": ["Be", "Be", "Be", "Be", "Pd", "Pd", "Cd", "Cd"],
  "frac_coords": [[0.396, 0.125, 0.250], [0.354, 0.625, 0.250], [0.375, 0.604, 0.750], [0.875, 0.646, 0.750], [0.500, 0.500, 0.000], [0.250, 0.750, 0.500], [0.000, 0.000, 0.000], [0.750, 0.250, 0.500]]
}

***

Entry 3:
{
  "formula": "BeCd3Pd",
  "functional": "PBE",
  "state": "relaxed",
  "rho_g_cm3": 7.71,
  "ef_ev_per_atom": 0.3335,
  "magmom_total_mub_per_cell": 0.0,
  "relative_energy_mev_per_atom": 0.0,
  "lattice": [[-3.080, 3.414, -0.221], [-1.712, -1.281, 4.076], [2.962, 2.809, 2.127]],
  "species": ["Be", "Pd", "Cd", "Cd", "Cd"],
  "frac_coords": [[0.000, 0.000, 0.000], [0.500, 0.500, 0.500], [0.000, 0.500, 0.000], [0.000, 0.000, 0.500], [0.500, 0.000, 0.000]]
}

***

Entry 4:
{
  "formula": "Be2CdPd8",
  "functional": "PBE",
  "state": "relaxed",
  "rho_g_cm3": 10.02,
  "ef_ev_per_atom": -0.2807,
  "magmom_total_mub_per_cell": 0.0,
  "lattice": [[-0.398, 1.288, -4.252], [-5.982, -2.024, 0.958], [1.018, 5.722, 2.648]],
  "species": ["Be", "Be", "Cd", "Pd", "Pd", "Pd", "Pd", "Pd", "Pd", "Pd", "Pd"],
  "frac_coords": [[0.000, 0.315, 0.685], [0.000, 0.685, 0.315], [0.500, 0.000, 0.000], [0.909, 0.927, 0.668], [0.909, 0.668, 0.927], [0.301, 0.606, 0.606], [0.500, 0.746, 0.254], [0.500, 0.254, 0.746], [0.699, 0.394, 0.394], [0.091, 0.332, 0.073], [0.091, 0.073, 0.332]]
}

***

Entry 5:
{
  "formula": "Be2Cd2Pd",
  "functional": "PBE",
  "state": "relaxed",
  "rho_g_cm3": 7.24,
  "ef_ev_per_atom": 0.4386,
  "magmom_total_mub_per_cell": 0.0,
  "relative_energy_mev_per_atom": 372.7,
  "lattice": [[3.769, 0.000, 0.000], [0.000, 3.769, 0.000], [1.884, 1.884, 5.640]],
  "species": ["Be", "Be", "Pd", "Cd", "Cd"],
  "frac_coords": [[0.412, 0.412, 0.176], [0.588, 0.588, 0.824], [0.000, 0.000, 0.000], [0.750, 0.250, 0.500], [0.250, 0.750, 0.500]]
}

***

Entry 6:
{
  "formula": "BeCdPd",
  "functional": "PBE",
  "state": "relaxed",
  "rho_g_cm3": 8.56,
  "ef_ev_per_atom": -0.2580,
  "magmom_total_mub_per_cell": 0.0,
  "relative_energy_mev_per_atom": 46.0,
  "lattice": [[3.019, 0.000, 0.000], [0.000, 3.019, 0.000], [-1.509, -1.509, 4.854]],
  "species": ["Be", "Pd", "Cd"],
  "frac_coords": [[0.698, 0.698, 0.396], [0.298, 0.298, 0.595], [0.004, 0.004, 0.009]]
}

***

Entry 7:
{
  "formula": "BeCdPd2",
  "functional": "PBE",
  "state": "relaxed",
  "rho_g_cm3": 9.66,
  "ef_ev_per_atom": -0.4942,
  "magmom_total_mub_per_cell": 0.0,
  "relative_energy_mev_per_atom": 0.0,
  "lattice": [[-1.621, 1.659, -1.673], [-1.757, -2.205, -0.484], [-3.856, 1.849, 5.568]],
  "species": ["Be", "Pd", "Pd", "Cd"],
  "frac_coords": [[0.500, 0.500, 0.000], [0.000, 0.000, 0.801], [0.000, 0.000, 0.199], [0.500, 0.500, 0.500]]
}

***

Entry 8:
{
  "formula": "BeCdPd3",
  "functional": "PBE",
  "state": "relaxed",
  "rho_g_cm3": 9.37,
  "ef_ev_per_atom": -0.2789,
  "magmom_total_mub_per_cell": 0.0,
  "relative_energy_mev_per_atom": 18.1,
  "lattice": [[4.274, 0.000, 0.000], [0.000, 4.274, 0.000], [0.000, 0.000, 4.274]],
  "species": ["Be", "Pd", "Pd", "Pd", "Cd"],
  "frac_coords": [[0.000, 0.000, 0.000], [0.000, 0.500, 0.000], [0.000, 0.000, 0.500], [0.500, 0.000, 0.000], [0.500, 0.500, 0.500]]
}

***

Entry 9:
{
  "formula": "BeCdPd6",
  "functional": "PBE",
  "state": "relaxed",
  "rho_g_cm3": 10.36,
  "ef_ev_per_atom": -0.2515,
  "magmom_total_mub_per_cell": 0.0,
  "lattice": [[7.679, -0.029, 0.213], [3.866, 5.217, -0.302], [3.763, 1.421, 3.025]],
  "species": ["Be", "Cd", "Pd", "Pd", "Pd", "Pd", "Pd", "Pd"],
  "frac_coords": [[0.000, 0.000, 0.000], [0.500, 0.500, 0.500], [0.071, 0.383, 0.766], [0.780, 0.929, 0.674], [0.617, 0.220, 0.092], [0.220, 0.071, 0.326], [0.929, 0.617, 0.234], [0.383, 0.780, 0.908]]
}

***

Entry 10:
{
  "formula": "BeCdPd2",
  "functional": "PBE",
  "state": "relaxed",
  "rho_g_cm3": 9.31,
  "ef_ev_per_atom": -0.2560,
  "magmom_total_mub_per_cell": 0.0,
  "relative_energy_mev_per_atom": 238.2,
  "lattice": [[-1.271, -4.177, -0.400], [-4.037, -1.190, 1.229], [-2.975, -1.106, -3.025]],
  "species": ["Be", "Pd", "Pd", "Cd"],
  "frac_coords": [[0.000, 0.000, 0.000], [0.250, 0.250, 0.250], [0.750, 0.750, 0.750], [0.500, 0.500, 0.500]]
}

***

Entry 11:
{
  "formula": "Be3CdPd",
  "functional": "PBE",
  "state": "relaxed",
  "rho_g_cm3": 5.18,
  "ef_ev_per_atom": 0.3858,
  "magmom_total_mub_per_cell": 0.0,
  "relative_energy_mev_per_atom": 0.0,
  "lattice": [[-0.287, -1.784, -3.888], [-3.274, -2.416, 1.351], [-2.753, 3.059, -1.201]],
  "species": ["Be", "Be", "Be", "Pd", "Cd"],
  "frac_coords": [[0.000, 0.500, 0.000], [0.000, 0.000, 0.500], [0.500, 0.000, 0.000], [0.000, 0.000, 0.000], [0.500, 0.500, 0.500]]
}

***

Entry 12:
{
  "formula": "Be2CdPd2",
  "functional": "PBE",
  "state": "relaxed",
  "rho_g_cm3": 7.95,
  "ef_ev_per_atom": -0.2540,
  "magmom_total_mub_per_cell": 0.0,
  "relative_energy_mev_per_atom": 155.2,
  "lattice": [[-1.250, 2.164, -2.319], [-2.978, -1.657, 0.059], [-4.086, 3.958, 3.392]],
  "species": ["Be", "Be", "Pd", "Pd", "Cd"],
  "frac_coords": [[0.750, 0.250, 0.500], [0.250, 0.750, 0.500], [0.378, 0.378, 0.244], [0.622, 0.622, 0.756], [0.000, 0.000, 0.000]]
}